Record 1
3
Lattice="2.720 2.727 2.349 -1.755 3.239 2.604 0.216 -0.353 4.492" Properties=species:S:1:pos:R:3 comment="KTcGe, relaxed, DFT GGA-PBE" space_group="F-43m, No. 216" rho_g_cm3=5.4 polymorph_energy_mev_per_atom=0 pbc="T T T"
K 0.886 4.209 7.084
Tc 0.000 0.000 0.000
Ge 0.295 1.403 2.361

***

Record 2
12
Lattice="0.234 6.154 -5.412 -2.890 -7.425 1.930 -9.418 5.054 5.340" Properties=species:S:1:pos:R:3 comment="KTmGeTe3, relaxed, DFT GGA-PBE" space_group="Cmcm, No. 63" rho_g_cm3=5.1 polymorph_energy_mev_per_atom=111 pbc="T T T"
Ge -8.265 3.706 1.966
Ge -3.810 0.076 -0.108
Te -7.039 9.035 -0.915
Te -2.121 -2.198 -0.566
Te -9.954 5.981 2.424
Te -6.015 3.868 0.191
Te -6.059 -0.085 1.667
Te -5.036 -5.252 2.773
Tm -4.709 2.527 2.670
Tm 0.000 0.000 0.000
K -9.176 -0.254 4.107
K -2.898 4.037 -2.249

***

Record 3
24
Lattice="16.562 0.000 0.000 0.000 4.265 0.000 0.000 0.000 12.134" Properties=species:S:1:pos:R:3 comment="KTmGeTe3, relaxed, DFT GGA-PBE" space_group="Pnma, No. 62" rho_g_cm3=5.1 polymorph_energy_mev_per_atom=0 pbc="T T T"
Te 15.090 3.198 3.346
Te 14.759 1.066 11.673
Te 14.389 3.198 7.964
Te 1.803 3.198 0.461
Te 10.084 3.198 5.606
Te 10.454 1.066 1.897
Te 6.108 3.198 10.237
Te 1.472 1.066 8.788
Te 2.173 1.066 4.170
Te 6.478 1.066 6.528
Te 9.753 1.066 9.413
Te 6.809 3.198 2.721
Tm 8.121 3.198 7.908
Tm 0.160 1.066 1.841
Tm 8.441 1.066 4.226
Tm 16.402 3.198 10.293
K 12.025 3.198 11.263
K 3.744 3.198 6.938
K 12.818 1.066 5.196
K 4.537 1.066 0.871
Ge 0.541 3.198 5.165
Ge 16.021 1.066 6.969
Ge 8.822 3.198 0.902
Ge 7.740 1.066 11.232

***

Record 4
12
Lattice="-4.543 4.641 -5.152 1.502 -7.104 4.000 -6.514 3.768 9.138" Properties=species:S:1:pos:R:3 comment="KZrGeTe3, relaxed, DFT GGA-PBE" space_group="Cmcm, No. 63" rho_g_cm3=5.0 e_tot_ev_per_atom=-4.4783 pbc="T T T"
Zr -4.777 0.652 3.993
Zr -1.520 -1.231 -0.576
Ge -5.815 4.891 -2.328
Ge -3.739 -3.586 10.314
Te -6.875 4.908 0.432
Te -3.524 0.439 1.141
Te -5.672 -1.873 11.752
Te -2.680 -3.603 7.555
Te -3.883 3.178 -3.766
Te -6.031 0.866 6.846
K -1.673 -3.157 3.943
K -7.881 4.462 4.044

***

Record 5
3
Lattice="2.944 -2.465 -3.424 0.670 -5.087 0.373 -2.155 -3.139 -3.459" Properties=species:S:1:pos:R:3 comment="KTmGe, relaxed, DFT GGA-PBE" space_group="F-43m, No. 216" rho_g_cm3=4.8 polymorph_energy_mev_per_atom=0 pbc="T T T"
Ge 0.000 0.000 0.000
Tm 1.094 -8.018 -4.882
K 0.365 -2.673 -1.627

***

Record 6
3
Lattice="2.700 -1.905 3.951 0.283 2.618 4.426 -2.443 -1.744 4.185" Properties=species:S:1:pos:R:3 comment="KUGe, relaxed, DFT GGA-PBE" space_group="F-43m, No. 216" rho_g_cm3=6.0 polymorph_energy_mev_per_atom=0 pbc="T T T"
K 0.135 -0.258 3.140
U 0.405 -0.773 9.421
Ge 0.000 0.000 0.000

***

Record 7
3
Lattice="-0.503 -0.282 4.697 -2.017 3.558 2.382 -4.303 -0.556 1.890" Properties=species:S:1:pos:R:3 comment="KGeW, relaxed, DFT GGA-PBE" space_group="F-43m, No. 216" rho_g_cm3=6.5 polymorph_energy_mev_per_atom=0 pbc="T T T"
W -5.117 2.040 6.727
Ge 0.000 0.000 0.000
K -1.706 0.680 2.242

***

Record 8
3
Lattice="0.000 3.512 3.512 3.512 0.000 3.512 3.512 3.512 0.000" Properties=species:S:1:pos:R:3 comment="KGeW, relaxed, DFT GGA-PBE" space_group="F-43m, No. 216" rho_g_cm3=5.7 polymorph_energy_mev_per_atom=882 pbc="T T T"
Ge 1.756 1.756 1.756
W 5.268 5.268 5.268
K 0.000 0.000 0.000

***

Record 9
5
Lattice="6.088 1.481 -0.423 1.768 5.927 -1.085 -3.845 -3.167 3.824" Properties=species:S:1:pos:R:3 comment="KZn2Ge2, relaxed, DFT GGA-PBE" space_group="I4/mmm, No. 139" rho_g_cm3=4.9 e_tot_ev_per_atom=-2.6728 pbc="T T T"
K 0.000 0.000 0.000
Ge 3.000 2.829 -0.576
Ge 4.857 4.579 -0.932
Zn 0.925 3.232 0.992
Zn 3.085 1.009 1.323

***

Record 10
3
Lattice="0.000 3.486 3.486 3.486 0.000 3.486 3.486 3.486 0.000" Properties=species:S:1:pos:R:3 comment="KZrGe, relaxed, DFT GGA-PBE" space_group="F-43m, No. 216" rho_g_cm3=4.0 polymorph_energy_mev_per_atom=0 pbc="T T T"
K 1.743 1.743 1.743
Ge 0.000 0.000 0.000
Zr 5.229 5.229 5.229

***

Record 11
3
Lattice="-1.498 -0.492 4.650 -3.982 -2.684 1.025 0.472 -4.319 2.288" Properties=species:S:1:pos:R:3 comment="KZrGe, relaxed, DFT GGA-PBE" space_group="F-43m, No. 216" rho_g_cm3=4.0 polymorph_energy_mev_per_atom=868 pbc="T T T"
Ge -1.252 -1.874 1.991
K 0.000 0.000 0.000
Zr -3.756 -5.621 5.972

***

Record 12
4
Lattice="-4.327 -0.226 -2.018 -3.625 2.520 1.831 -1.729 3.770 -2.375" Properties=species:S:1:pos:R:3 comment="LiLaGePd, relaxed, DFT GGA-PBE" space_group="F-43m, No. 216" rho_g_cm3=7.0 polymorph_energy_mev_per_atom=0 pbc="T T T"
Ge 0.000 0.000 0.000
La -4.841 3.032 -1.281
Pd -2.420 1.516 -0.640
Li -7.261 4.549 -1.921

***

Record 13
4
Lattice="-2.518 3.352 2.610 -1.949 3.934 -2.261 -4.896 0.371 -0.528" Properties=species:S:1:pos:R:3 comment="LiLaGePd, relaxed, DFT GGA-PBE" space_group="F-43m, No. 216" rho_g_cm3=6.3 polymorph_energy_mev_per_atom=137 pbc="T T T"
Ge -4.681 3.828 -0.089
La -2.340 1.914 -0.045
Pd 0.000 0.000 0.000
Li -7.021 5.743 -0.134

***

Record 14
6
Lattice="-4.028 -0.118 1.557 1.788 -3.575 -1.638 2.495 -1.653 6.330" Properties=species:S:1:pos:R:3 comment="LiLaGe2Pd2, relaxed, DFT GGA-PBE" space_group="P-3m1, No. 164" rho_g_cm3=7.4 e_tot_ev_per_atom=-5.2073 pbc="T T T"
Pd 1.444 -3.479 3.472
Pd -1.189 -1.867 2.776
Li 1.247 -0.827 3.165
Ge 0.537 -2.879 1.173
Ge -0.283 -2.467 5.076
La 0.000 0.000 0.000

***

Record 15
4
Lattice="0.505 -1.560 4.505 -1.141 2.865 3.671 -3.876 -0.940 2.660" Properties=species:S:1:pos:R:3 comment="LiLaGePd, relaxed, DFT GGA-PBE" space_group="F-43m, No. 216" rho_g_cm3=6.9 polymorph_energy_mev_per_atom=76 pbc="T T T"
La -2.256 0.182 5.417
Pd 0.000 0.000 0.000
Li -3.384 0.274 8.126
Ge -1.128 0.091 2.709

***

Record 16
5
Lattice="0.010 -4.133 3.985 -4.165 0.742 3.882 0.082 -0.052 -5.740" Properties=species:S:1:pos:R:3 comment="LiLaGePd2, relaxed, DFT GGA-PBE" space_group="I4mm, No. 107" rho_g_cm3=7.3 e_tot_ev_per_atom=-5.0398 pbc="T T T"
Li -1.521 -1.242 2.880
Pd -0.976 -2.926 1.057
Pd -3.063 -0.489 1.006
La -0.020 -0.016 0.037
Ge -2.648 -2.161 5.013

***

Record 17
4
Lattice="-0.736 -3.704 -3.164 -3.116 -3.639 1.150 -4.302 -0.399 -2.368" Properties=species:S:1:pos:R:3 comment="LiLaGePt, relaxed, DFT GGA-PBE" space_group="F-43m, No. 216" rho_g_cm3=8.1 polymorph_energy_mev_per_atom=146 pbc="T T T"
Pt -4.077 -3.871 -2.191
Li -6.116 -5.807 -3.287
Ge 0.000 0.000 0.000
La -2.039 -1.936 -1.096

***

Record 18
4
Lattice="3.438 -0.815 3.241 -0.775 -3.076 3.596 2.272 -4.222 0.076" Properties=species:S:1:pos:R:3 comment="LiLaGePt, relaxed, DFT GGA-PBE" space_group="F-43m, No. 216" rho_g_cm3=8.8 polymorph_energy_mev_per_atom=0 pbc="T T T"
Pt 1.234 -2.028 1.728
La 0.000 0.000 0.000
Ge 2.467 -4.056 3.457
Li 3.701 -6.085 5.185

***

Record 19
4
Lattice="1.522 -4.059 1.972 -0.918 -0.912 4.583 -3.126 -3.397 1.172" Properties=species:S:1:pos:R:3 comment="LiLaGePt, relaxed, DFT GGA-PBE" space_group="F-43m, No. 216" rho_g_cm3=9.0 polymorph_energy_mev_per_atom=79 pbc="T T T"
Ge -0.631 -2.092 1.932
Pt -1.261 -4.184 3.864
La 0.000 0.000 0.000
Li -1.892 -6.276 5.796

***

Record 20
10
Lattice="2.104 -11.626 0.000 2.104 11.626 0.000 0.000 0.000 4.264" Properties=species:S:1:pos:R:3 comment="LaLu2Ge7, relaxed, DFT GGA-PBE" space_group="Cmmm, No. 65" rho_g_cm3=7.9 e_tot_ev_per_atom=-5.1127 pbc="T T T"
Lu 2.104 7.271 0.000
Lu 2.104 -7.271 0.000
La 0.000 0.000 0.000
Ge 2.104 9.284 2.132
Ge 2.104 -9.284 2.132
Ge 2.104 0.000 2.132
Ge 2.104 2.305 0.000
Ge 2.104 -2.305 0.000
Ge 2.104 4.880 2.132
Ge 2.104 -4.880 2.132